# 1
VASP calculation (PBE) on a relaxed structure of HgHO3.

Calculated values
As for the total energy: -2.35 eV/atom. As for the density of states at the Fermi level: 8.99 states/eV per cell. As for the space group: No. 221.

Unit cell a=4.1498 b=4.1498 c=4.1498 alpha=90.00 beta=90.00 gamma=90.00
Closest atoms and distances in Å follow each position.
Sites, in units of the cell vectors:
Hg1 0.0000 0.0000 0.0000  6 O 2.07
H1 0.5000 0.5000 0.5000  12 O 2.93
O1 0.0000 0.0000 0.5000  2 Hg 2.07
O2 0.0000 0.5000 0.0000  2 Hg 2.07
O3 0.5000 0.0000 0.0000  2 Hg 2.07

***

# 2
VASP calculation (PBE) on a relaxed structure of HgH3O3.

Calculated values
As for the total energy: -4.18 eV/atom. As for the density of states at the Fermi level: 5.67 states/eV per cell. As for the space group: No. 148.

Unit cell a=5.9124 b=5.9124 c=5.9124 alpha=64.05 beta=64.05 gamma=64.05
Closest atoms and distances in Å follow each position.
Sites, in units of the cell vectors:
Hg1 0.1632 0.1632 0.1632  6 O 2.32-2.33
Hg2 0.8368 0.8368 0.8368  6 O 2.32-2.33
H1 0.1055 0.6299 0.1989  1 O 1.01
H2 0.1989 0.1055 0.6299  1 O 1.01
H3 0.3701 0.8011 0.8945  1 O 1.01
H4 0.6299 0.1989 0.1055  1 O 1.01
H5 0.8011 0.8945 0.3701  1 O 1.01
H6 0.8945 0.3701 0.8011  1 O 1.01
O1 0.0271 0.1779 0.5903  1 H 1.01
O2 0.1779 0.5903 0.0271  1 H 1.01
O3 0.4097 0.9729 0.8221  1 H 1.01
O4 0.5903 0.0271 0.1779  1 H 1.01
O5 0.8221 0.4097 0.9729  1 H 1.01
O6 0.9729 0.8221 0.4097  1 H 1.01

***

# 3
VASP calculation (PBE) on a relaxed structure of Hg3HO.

Calculated values
As for the total energy: -1.23 eV/atom. As for the density of states at the Fermi level: 2.66 states/eV per cell. As for the space group: No. 221.

Unit cell a=4.4553 b=4.4553 c=4.4553 alpha=90.00 beta=90.00 gamma=90.00
Closest atoms and distances in Å follow each position.
Sites, in units of the cell vectors:
Hg1 0.0000 0.0000 0.5000  2 H 2.23
Hg2 0.0000 0.5000 0.0000  2 H 2.23
Hg3 0.5000 0.0000 0.0000  2 H 2.23
H1 0.0000 0.0000 0.0000  6 Hg 2.23
O1 0.5000 0.5000 0.5000  12 Hg 3.15

***

# 4
VASP calculation (PBE) on a relaxed structure of HgPHO2.

Calculated values
As for the density of states at the Fermi level: 1.01 states/eV per cell. As for the space group: No. 123. The energy relative to the lowest polymorph listed for this composition is 0.0000 eV/atom.

Unit cell a=4.2674 b=4.2674 c=3.0143 alpha=90.00 beta=90.00 gamma=90.00
Closest atoms and distances in Å follow each position.
Sites, in units of the cell vectors:
Hg1 0.0000 0.0000 0.0000  8 O 2.61
P1 0.5000 0.5000 0.0000  2 H 1.51
H1 0.5000 0.5000 0.5000  2 P 1.51
O1 0.0000 0.5000 0.5000  2 H 2.13
O2 0.5000 0.0000 0.5000  2 H 2.13

***

# 5
VASP calculation (PBE) on a relaxed structure of HgPHO2.

Calculated values
As for the density of states at the Fermi level: 4.55 states/eV per cell. As for the space group: No. 123. The energy relative to the lowest polymorph listed for this composition is 0.7912 eV/atom.

Unit cell a=4.1596 b=4.1596 c=5.4070 alpha=90.00 beta=90.00 gamma=90.00
Closest atoms and distances in Å follow each position.
Sites, in units of the cell vectors:
Hg1 0.0000 0.0000 0.0000  4 O 2.08
P1 0.0000 0.0000 0.5000  2 Hg 2.70, 4 H 2.94
H1 0.5000 0.5000 0.5000  4 P 2.94
O1 0.0000 0.5000 0.0000  2 Hg 2.08
O2 0.5000 0.0000 0.0000  2 Hg 2.08

***

# 6
VASP calculation (PBE) on a relaxed structure of PuHg2HO6.

Calculated values
As for the total energy: -6.04 eV/atom. As for the density of states at the Fermi level: 0.08 states/eV per cell. As for the space group: No. 1.

Unit cell a=5.3490 b=5.8606 c=6.4689 alpha=99.75 beta=113.19 gamma=110.32
Closest atoms and distances in Å follow each position.
Sites, in units of the cell vectors:
Pu1 0.0000 0.0000 0.0000  2 O 1.81-1.82
Hg1 0.3731 0.3208 0.7182  2 O 2.04
Hg2 0.6339 0.6822 0.3206  2 O 2.05-2.11
H1 0.6839 0.1290 0.2717  1 O 1.00
O1 0.1160 0.7754 0.1243  1 Pu 1.82
O2 0.1540 0.9715 0.7427  1 Hg 2.04, 1 Pu 2.14
O3 0.4455 0.2934 0.2718  1 H 1.85, 1 Hg 2.05
O4 0.5846 0.6928 0.7342  1 Hg 2.04, 1 Pu 2.07
O5 0.8200 0.0445 0.2842  1 H 1.00
O6 0.8823 0.2338 0.8989  1 Pu 1.81

***

# 7
VASP calculation (PBE) on a relaxed structure of PuHgH2O6.

Calculated values
As for the total energy: -6.32 eV/atom. As for the density of states at the Fermi level: 0.33 states/eV per cell. As for the space group: No. 15.

Unit cell a=7.0327 b=7.0327 c=6.2408 alpha=99.29 beta=99.29 gamma=95.99
Closest atoms and distances in Å follow each position.
Sites, in units of the cell vectors:
Pu1 0.2347 0.7653 0.7500  2 O 1.80
Pu2 0.7653 0.2347 0.2500  2 O 1.80
Hg1 0.3940 0.6060 0.2500  2 O 2.06
Hg2 0.6060 0.3940 0.7500  2 O 2.06
H1 0.1276 0.3303 0.4721  1 O 1.02
H2 0.3303 0.1276 0.9721  1 O 1.02
H3 0.6697 0.8724 0.0279  1 O 1.02
H4 0.8724 0.6697 0.5279  1 O 1.02
O1 0.0228 0.2127 0.4480  1 H 1.02
O2 0.0842 0.5906 0.8519  1 Pu 1.80
O3 0.2127 0.0228 0.9480  1 H 1.02
O4 0.2864 0.5218 0.5139  1 H 1.61
O5 0.4094 0.9158 0.6481  1 Pu 1.80
O6 0.4782 0.7136 0.9861  1 H 1.61
O7 0.5218 0.2864 0.0139  1 H 1.61
O8 0.5906 0.0842 0.3519  1 Pu 1.80
O9 0.7136 0.4782 0.4861  1 H 1.61
O10 0.7873 0.9772 0.0520  1 H 1.02
O11 0.9158 0.4094 0.1481  1 Pu 1.80
O12 0.9772 0.7873 0.5520  1 H 1.02

***

# 8
VASP calculation (PBE) on a relaxed structure of Re2HgHO8.

Calculated values
As for the total energy: -6.71 eV/atom. As for the density of states at the Fermi level: 3.74 states/eV per cell. As for the space group: No. 12.

Unit cell a=6.9175 b=6.9175 c=7.6016 alpha=123.17 beta=123.17 gamma=43.99
Closest atoms and distances in Å follow each position.
Sites, in units of the cell vectors:
Re1 0.1898 0.1898 0.2287  4 O 1.76-1.77
Re2 0.8102 0.8102 0.7713  4 O 1.76-1.77
Hg1 0.0000 0.0000 0.5000  2 O 2.50
H1 0.5000 0.5000 0.0000  4 O 1.71
O1 0.1589 0.6143 0.9371  1 H 1.71, 1 Re 1.76
O2 0.1732 0.1732 0.4436  1 Re 1.77
O3 0.3533 0.3533 0.3305  1 Re 1.76
O4 0.3857 0.8411 0.0629  1 H 1.71, 1 Re 1.76
O5 0.6143 0.1589 0.9371  1 H 1.71, 1 Re 1.76
O6 0.6467 0.6467 0.6695  1 Re 1.76
O7 0.8268 0.8268 0.5564  1 Re 1.77
O8 0.8411 0.3857 0.0629  1 H 1.71, 1 Re 1.76